(1)
## Ba4SiP4 (PBE)

Data for an optimized crystal structure of Ba4SiP4.

## Properties
The value obtained for the formation energy from raw total energies is -970 meV/atom. Its energy above the most stable polymorph in this dataset is 0.00 eV per formula unit. The calculation puts the total energy at -43.48 eV per formula unit. The space-group type is No. 218.

abc: 13.1334 13.1334 13.1334
angles: 90.00 90.00 90.00
With the nearest neighbours (Å) after each atom.
Element x y z (fractional)
Ba1 0.6460 0.6460 0.6460  1 Si 3.32, 6 P 3.35-3.36
Ba2 0.3540 0.3540 0.6460  1 Si 3.32, 6 P 3.35-3.36
Ba3 0.3540 0.6460 0.3540  1 Si 3.32, 6 P 3.35-3.36
Ba4 0.6460 0.3540 0.3540  1 Si 3.32, 6 P 3.35-3.36
Ba5 0.1460 0.1460 0.1460  1 Si 3.32, 6 P 3.35-3.36
Ba6 0.8540 0.8540 0.1460  1 Si 3.32, 6 P 3.35-3.36
Ba7 0.1460 0.8540 0.8540  1 Si 3.32, 6 P 3.35-3.36
Ba8 0.8540 0.1460 0.8540  1 Si 3.32, 6 P 3.35-3.36
Ba9 0.4067 0.1459 0.3673  1 Si 3.31, 6 P 3.32-3.40
Ba10 0.5933 0.8541 0.3673  1 Si 3.31, 6 P 3.32-3.40
Ba11 0.5933 0.1459 0.6327  1 Si 3.31, 6 P 3.32-3.40
Ba12 0.4067 0.8541 0.6327  1 Si 3.31, 6 P 3.32-3.40
Ba13 0.3673 0.4067 0.1459  1 Si 3.31, 6 P 3.32-3.40
Ba14 0.3673 0.5933 0.8541  1 Si 3.31, 6 P 3.32-3.40
Ba15 0.6327 0.5933 0.1459  1 Si 3.31, 6 P 3.32-3.40
Ba16 0.6327 0.4067 0.8541  1 Si 3.31, 6 P 3.32-3.40
Ba17 0.1459 0.3673 0.4067  1 Si 3.31, 6 P 3.32-3.40
Ba18 0.8541 0.3673 0.5933  1 Si 3.31, 6 P 3.32-3.40
Ba19 0.1459 0.6327 0.5933  1 Si 3.31, 6 P 3.32-3.40
Ba20 0.8541 0.6327 0.4067  1 Si 3.31, 6 P 3.32-3.40
Ba21 0.6459 0.9067 0.8673  1 Si 3.31, 6 P 3.32-3.40
Ba22 0.3541 0.0933 0.8673  1 Si 3.31, 6 P 3.32-3.40
Ba23 0.6459 0.0933 0.1327  1 Si 3.31, 6 P 3.32-3.40
Ba24 0.3541 0.9067 0.1327  1 Si 3.31, 6 P 3.32-3.40
Ba25 0.9067 0.8673 0.6459  1 Si 3.31, 6 P 3.32-3.40
Ba26 0.0933 0.8673 0.3541  1 Si 3.31, 6 P 3.32-3.40
Ba27 0.0933 0.1327 0.6459  1 Si 3.31, 6 P 3.32-3.40
Ba28 0.9067 0.1327 0.3541  1 Si 3.31, 6 P 3.32-3.40
Ba29 0.8673 0.6459 0.9067  1 Si 3.31, 6 P 3.32-3.40
Ba30 0.8673 0.3541 0.0933  1 Si 3.31, 6 P 3.32-3.40
Ba31 0.1327 0.6459 0.0933  1 Si 3.31, 6 P 3.32-3.40
Ba32 0.1327 0.3541 0.9067  1 Si 3.31, 6 P 3.32-3.40
P1 0.3985 0.3985 0.3985  1 Si 2.31
P2 0.6015 0.6015 0.3985  1 Si 2.31
P3 0.6015 0.3985 0.6015  1 Si 2.31
P4 0.3985 0.6015 0.6015  1 Si 2.31
P5 0.8985 0.8985 0.8985  1 Si 2.31
P6 0.1015 0.1015 0.8985  1 Si 2.31
P7 0.8985 0.1015 0.1015  1 Si 2.31
P8 0.1015 0.8985 0.1015  1 Si 2.31
P9 0.1540 0.1087 0.3992  1 Si 2.32
P10 0.8460 0.8913 0.3992  1 Si 2.32
P11 0.8460 0.1087 0.6008  1 Si 2.32
P12 0.1540 0.8913 0.6008  1 Si 2.32
P13 0.3992 0.1540 0.1087  1 Si 2.32
P14 0.3992 0.8460 0.8913  1 Si 2.32
P15 0.6008 0.8460 0.1087  1 Si 2.32
P16 0.6008 0.1540 0.8913  1 Si 2.32
P17 0.1087 0.3992 0.1540  1 Si 2.32
P18 0.8913 0.3992 0.8460  1 Si 2.32
P19 0.1087 0.6008 0.8460  1 Si 2.32
P20 0.8913 0.6008 0.1540  1 Si 2.32
P21 0.6087 0.6540 0.8992  1 Si 2.32
P22 0.3913 0.3460 0.8992  1 Si 2.32
P23 0.6087 0.3460 0.1008  1 Si 2.32
P24 0.3913 0.6540 0.1008  1 Si 2.32
P25 0.6540 0.8992 0.6087  1 Si 2.32
P26 0.3460 0.8992 0.3913  1 Si 2.32
P27 0.3460 0.1008 0.6087  1 Si 2.32
P28 0.6540 0.1008 0.3913  1 Si 2.32
P29 0.8992 0.6087 0.6540  1 Si 2.32
P30 0.8992 0.3913 0.3460  1 Si 2.32
P31 0.1008 0.6087 0.3460  1 Si 2.32
P32 0.1008 0.3913 0.6540  1 Si 2.32
Si1 0.0000 0.0000 0.0000  4 P 2.31
Si2 0.5000 0.5000 0.5000  4 P 2.31
Si3 0.2500 0.0000 0.5000  4 P 2.32
Si4 0.7500 0.0000 0.5000  4 P 2.32
Si5 0.5000 0.2500 0.0000  4 P 2.32
Si6 0.5000 0.7500 0.0000  4 P 2.32
Si7 0.0000 0.5000 0.2500  4 P 2.32
Si8 0.0000 0.5000 0.7500  4 P 2.32

=====

(2)
## BaSiP3 (PBE)

Data for an optimized crystal structure of BaSiP3.

## Properties
The value obtained for the formation energy from raw total energies is -31 meV/atom. Its energy above the most stable polymorph in this dataset is 0.00 eV per formula unit. The calculation puts the total energy at -23.73 eV per formula unit. The space-group type is No. 221.

abc: 4.7748 4.7748 4.7748
angles: 90.00 90.00 90.00
With the nearest neighbours (Å) after each atom.
Element x y z (fractional)
P1 0.0000 0.5000 0.0000  2 Si 2.39
P2 0.0000 0.0000 0.5000  2 Si 2.39
P3 0.5000 0.0000 0.0000  2 Si 2.39
Si1 0.0000 0.0000 0.0000  6 P 2.39
Ba1 0.5000 0.5000 0.5000  12 P 3.38

=====

(3)
## BaSiP2 (PBE)

Data for an optimized crystal structure of BaSiP2.

## Properties
The value obtained for the formation energy from raw total energies is -680 meV/atom. The calculation puts the total energy at -20.89 eV per formula unit. The space-group type is No. 122.

abc: 7.1167 7.1167 6.4023
angles: 56.24 56.24 90.00
With the nearest neighbours (Å) after each atom.
Element x y z (fractional)
P1 0.5190 0.1250 0.2500  2 Si 2.28
P2 0.2310 0.6250 0.2500  2 Si 2.28
P3 0.3750 0.4810 0.7500  2 Si 2.28
P4 0.8750 0.7690 0.7500  2 Si 2.28
Si1 0.5000 0.5000 0.0000  4 P 2.28
Si2 0.2500 0.7500 0.5000  4 P 2.28
Ba1 0.0000 0.0000 0.0000  8 P 3.25-3.61
Ba2 0.7500 0.2500 0.5000  8 P 3.25-3.61